VASP calculation (PBE) on a geometry-optimized Y2GaCu2Pt5 structure.

```
Y2GaCu2Pt5
1.0
9.430 0.000 0.000
0.000 9.430 0.000
0.000 0.000 3.831
Y Ga Cu Pt
4 2 4 10
Direct
0.175 0.325 0.000
0.325 0.825 0.000
0.675 0.175 0.000
0.825 0.675 0.000
0.000 0.000 0.000
0.500 0.500 0.000
0.124 0.624 0.000
0.376 0.124 0.000
0.624 0.876 0.000
0.876 0.376 0.000
0.000 0.500 0.500
0.067 0.797 0.500
0.203 0.067 0.500
0.297 0.567 0.500
0.433 0.297 0.500
0.500 0.000 0.500
0.567 0.703 0.500
0.703 0.433 0.500
0.797 0.933 0.500
0.933 0.203 0.500
```

## Properties
formation energy = -0.82 eV/atom
crystal system = tetragonal


VASP calculation (PBE) on a geometry-optimized CrCoAs3 structure.

```
CrCoAs3
1.0
4.605 0.000 0.000
0.000 4.605 0.000
0.000 0.000 4.605
Cr Co As
1 1 3
Direct
0.000 0.000 0.000
0.500 0.500 0.500
0.000 0.000 0.500
0.000 0.500 0.000
0.500 0.000 0.000
```

## Properties
energy relative to the lowest polymorph listed for this composition = 0 meV/atom
formation energy = 0.80 eV/atom
crystal system = cubic


VASP calculation (PBE) on a geometry-optimized Zr2ZnCl structure.

```
Zr2ZnCl
1.0
7.420 0.000 0.000
0.000 3.263 0.000
-1.423 0.000 6.492
Zr Zn Cl
4 2 2
Direct
0.247 0.000 0.247
0.253 0.500 0.753
0.747 0.500 0.247
0.753 0.000 0.753
0.000 0.500 0.000
0.500 0.000 0.000
0.000 0.000 0.500
0.500 0.500 0.500
```

## Properties
ΔE_f (raw) = -7.1 kcal/mol of atoms
energy relative to the lowest polymorph listed for this composition = 173 meV/atom
crystal system = monoclinic


VASP calculation (PBE) on a geometry-optimized CeHfIn structure.

```
CeHfIn
1.0
5.144 0.000 0.000
0.000 3.323 0.000
-0.912 0.000 8.718
Ce Hf In
2 2 2
Direct
0.172 0.250 0.113
0.828 0.750 0.887
0.240 0.750 0.452
0.760 0.250 0.548
0.301 0.250 0.748
0.699 0.750 0.252
```

## Properties
energy relative to the lowest polymorph listed for this composition = 0 meV/atom
formation energy = -0.13 eV/atom
crystal system = monoclinic


Ordered ρ results: 13.16 5.71 5.99 9.66; unit Mg/m³.
Ordered E_tot results: -125.06 -26.67 -42.88 -38.01; unit eV/cell.
Ordered total magnetic moment results: 0.0 0.7 0.0 0.1; unit μB/f.u..